[1]
A geometry-optimized PmDySiIr structure. Source: the Alexandria database, functional PBE.

Computed properties:
Theoretical density, g/cm³: 9.611
Energy relative to the lowest polymorph listed for this composition, meV per atom: 0
Energy relative to the elements, uncorrected, eV per atom: -0.82

a b c (Å): 4.000 4.232 10.773
angles (deg): 90.00 90.00 90.00
Space group Amm2 (No. 38)
Symmetry-distinct sites (fractional):
Pm (0.000, 0.000, 0.000) (multiplicity 2)
Dy (0.500, 0.000, 0.283) (multiplicity 2)
Si (0.500, 0.000, 0.582) (multiplicity 2)
Ir (0.000, 0.000, 0.721) (multiplicity 2)

[2]
A geometry-optimized PmDySnIr structure. Source: the Alexandria database, functional PBE.

Computed properties:
Energy relative to the elements, meV/atom: -691
Theoretical density, g/cm³: 10.095
Energy relative to the lowest polymorph listed for this composition, meV per atom: 0

a b c (Å): 4.160 4.313 11.339
angles (deg): 90.00 90.00 90.00
Space group Amm2 (No. 38)
Symmetry-distinct sites (fractional):
Pm (0.000, 0.000, 0.000) (multiplicity 2)
Dy (0.500, 0.000, 0.709) (multiplicity 2)
Sn (0.500, 0.000, 0.415) (multiplicity 2)
Ir (0.000, 0.000, 0.253) (multiplicity 2)

[3]
A geometry-optimized PmDySnIr structure. Source: the Alexandria database, functional PBE.

Computed properties:
Energy relative to the elements, meV/atom: -549
Theoretical density, g/cm³: 10.580
Energy relative to the lowest polymorph listed for this composition, meV per atom: 142

a b c (Å): 7.295 7.295 7.295
angles (deg): 90.00 90.00 90.00
Space group F-43m (No. 216)
Symmetry-distinct sites (fractional):
Pm (0.000, 0.000, 0.000) (multiplicity 4)
Dy (0.000, 0.000, 0.500) (multiplicity 4)
Sn (0.250, 0.250, 0.250) (multiplicity 4)
Ir (0.250, 0.250, 0.750) (multiplicity 4)

[4]
A geometry-optimized PrDy3Ir structure. Source: the Alexandria database, functional PBE.

Computed properties:
Energy relative to the elements, meV/atom: -352
Theoretical density, g/cm³: 9.449
Energy relative to the lowest polymorph listed for this composition, meV per atom: 0

a b c (Å): 7.971 7.449 10.145
angles (deg): 90.00 106.73 90.00
Space group P2_1/c (No. 14)
Symmetry-distinct sites (fractional):
Pr (0.186, 0.043, 0.255) (multiplicity 4)
Dy (0.074, 0.705, 0.030) (multiplicity 4)
Dy (0.292, 0.509, 0.381) (multiplicity 4)
Dy (0.412, 0.127, 0.605) (multiplicity 4)
Ir (0.441, 0.744, 0.605) (multiplicity 4)

[5]
A geometry-optimized Pr2DyIr structure. Source: the Alexandria database, functional PBE.

Computed properties:
Energy relative to the elements, meV/atom: -6
Theoretical density, g/cm³: 7.707
Energy relative to the lowest polymorph listed for this composition, meV per atom: 456

a b c (Å): 3.8395 3.8395 32.2286
angles (deg): 90.00 90.00 120.00
Space group R-3m (No. 166, hexagonal axes)
Symmetry-distinct sites (fractional):
Pr (0.0000, 0.0000, 0.1115) (multiplicity 6)
Dy (0.0000, 0.0000, 0.0000) (multiplicity 3)
Ir (0.0000, 0.0000, 0.5000) (multiplicity 3)

[6]
A geometry-optimized Pr2DyIr structure. Source: the Alexandria database, functional PBE.

Computed properties:
Energy relative to the elements, meV/atom: -463
Theoretical density, g/cm³: 8.947
Energy relative to the lowest polymorph listed for this composition, meV per atom: 0

a b c (Å): 7.343 9.943 6.473
angles (deg): 90.00 90.00 90.00
Space group Pnma (No. 62)
Symmetry-distinct sites (fractional):
Pr (0.179, 0.066, 0.174) (multiplicity 8)
Dy (0.039, 0.250, 0.651) (multiplicity 4)
Ir (0.121, 0.750, 0.955) (multiplicity 4)

[7]
A geometry-optimized Pr2DyIr3 structure. Source: the Alexandria database, functional PBE.

Computed properties:
Energy relative to the elements, meV/atom: -337
Theoretical density, g/cm³: 11.691

a b c (Å): 4.650 5.770 10.809
angles (deg): 90.00 90.00 90.00
Space group Immm (No. 71)
Symmetry-distinct sites (fractional):
Pr (0.000, 0.000, 0.171) (multiplicity 4)
Dy (0.000, 0.000, 0.500) (multiplicity 2)
Ir (0.000, 0.500, 0.140) (multiplicity 4)
Ir (0.000, 0.500, 0.500) (multiplicity 2)

[8]
A geometry-optimized PrDy3Ir structure. Source: the Alexandria database, functional PBE.

Computed properties:
Energy relative to the elements, meV/atom: -298
Theoretical density, g/cm³: 8.384
Energy relative to the lowest polymorph listed for this composition, meV per atom: 54

a b c (Å): 5.457 5.457 5.457
angles (deg): 90.00 90.00 90.00
Space group Pm-3m (No. 221)
Symmetry-distinct sites (fractional):
Pr (0.000, 0.000, 0.000) (multiplicity 1)
Dy (0.000, 0.500, 0.500) (multiplicity 3)
Ir (0.500, 0.500, 0.500) (multiplicity 1)

[9]
A geometry-optimized PrDy8Ir6 structure. Source: the Alexandria database, functional PBE.

Computed properties:
Energy relative to the elements, meV/atom: -751
Theoretical density, g/cm³: 11.923

a b c (Å): 8.3424 8.3424 17.9839
angles (deg): 90.00 90.00 120.00
Space group R-3 (No. 148, hexagonal axes)
Symmetry-distinct sites (fractional):
Pr (0.0000, 0.0000, 0.0000) (multiplicity 3)
Dy (0.0000, 0.0000, 0.3348) (multiplicity 6)
Dy (0.0031, 0.3401, 0.8877) (multiplicity 18)
Ir (0.0004, 0.3369, 0.0577) (multiplicity 18)

[10]
A geometry-optimized PrDy2Ir9 structure. Source: the Alexandria database, functional PBE.

Computed properties:
Energy relative to the elements, meV/atom: -570
Theoretical density, g/cm³: 16.812

a b c (Å): 5.3467 5.3467 26.2811
angles (deg): 90.00 90.00 120.00
Space group R-3m (No. 166, hexagonal axes)
Symmetry-distinct sites (fractional):
Pr (0.0000, 0.0000, 0.0000) (multiplicity 3)
Dy (0.0000, 0.0000, 0.1396) (multiplicity 6)
Ir (0.0000, 0.0000, 0.3329) (multiplicity 6)
Ir (0.0000, 0.0000, 0.5000) (multiplicity 3)
Ir (0.0005, 0.5003, 0.0825) (multiplicity 18)

Question: Which of these has the highest theoretical density?
Answer: PrDy2Ir9

Question: The highest theoretical density belongs to which entry?
Answer: PrDy2Ir9